Record 1
Entry from the Alexandria database: crystalline SrLaEuMg at its relaxed geometry (PBE).

N(E_F), states/eV/cell: 4.1
Energy relative to the elements, meV/atom: 77
Total moment, μB per formula unit: 7.57
Calculated volume, Å³ per atom: 37.60
Crystal system: cubic

Cell: 5.969 5.969 5.969 Å, 60.00 60.00 60.00°
Element x y z (fractional)
1 Sr 0.000 0.000 0.000
2 La 0.500 0.500 0.500
3 Eu 0.750 0.750 0.750
4 Mg 0.250 0.250 0.250

=====

Record 2
Entry from the Alexandria database: crystalline PmMg3Cd3 at its relaxed geometry (PBE).

N(E_F), states/eV/cell: 6.5
Energy relative to the elements, meV/atom: -66
Total moment, μB per formula unit: 0.00
Calculated volume, Å³ per atom: 26.55
Crystal system: trigonal

Cell: 7.591 7.591 7.591 Å, 69.68 69.68 69.68°
Element x y z (fractional)
1 Pm 0.157 0.157 0.157
2 Pm 0.843 0.843 0.843
3 Mg 0.030 0.382 0.724
4 Mg 0.276 0.970 0.618
5 Mg 0.382 0.724 0.030
6 Mg 0.618 0.276 0.970
7 Mg 0.724 0.030 0.382
8 Mg 0.970 0.618 0.276
9 Cd 0.156 0.742 0.456
10 Cd 0.258 0.544 0.844
11 Cd 0.456 0.156 0.742
12 Cd 0.544 0.844 0.258
13 Cd 0.742 0.456 0.156
14 Cd 0.844 0.258 0.544

=====

Copy entry 2 word for word.
Entry from the Alexandria database: crystalline PmMg3Cd3 at its relaxed geometry (PBE).

N(E_F), states/eV/cell: 6.5
Energy relative to the elements, meV/atom: -66
Total moment, μB per formula unit: 0.00
Calculated volume, Å³ per atom: 26.55
Crystal system: trigonal

Cell: 7.591 7.591 7.591 Å, 69.68 69.68 69.68°
Element x y z (fractional)
1 Pm 0.157 0.157 0.157
2 Pm 0.843 0.843 0.843
3 Mg 0.030 0.382 0.724
4 Mg 0.276 0.970 0.618
5 Mg 0.382 0.724 0.030
6 Mg 0.618 0.276 0.970
7 Mg 0.724 0.030 0.382
8 Mg 0.970 0.618 0.276
9 Cd 0.156 0.742 0.456
10 Cd 0.258 0.544 0.844
11 Cd 0.456 0.156 0.742
12 Cd 0.544 0.844 0.258
13 Cd 0.742 0.456 0.156
14 Cd 0.844 0.258 0.544